First-principles (PBE) data for ScPS3 after structural relaxation, as listed in the Alexandria database.

Output
E_tot, eV per formula unit: -25.7
Crystal system: cubic
Formation energy (no corrections), meV per atom: -312
ΔE to the lowest computed polymorph, kJ per mole of atoms: 0.0

abc: 4.4972 4.4972 4.4972
angles: 90.00 90.00 90.00
Last column: nearest neighbours and their distance in Å.
Space group Pm-3m (No. 221)
One atom of each set of equivalent atoms:
Sc1 0.0000 0.0000 0.0000  12 S 3.18
P1 0.5000 0.5000 0.5000  6 S 2.25
S1 0.0000 0.5000 0.5000  2 P 2.25